Entry from the Alexandria database: a PBEsol-optimized structure of CaPb (meta-GGA SCAN).

Summary:
Energy of formation (eV/f.u.): -1.18
SG: No. 74

a b c (Å): 3.8219 5.2195 6.7675
angles (deg): 112.68 106.40 90.00
Last column: nearest neighbours and their distance in Å.
Element x y z (fractional)
Pb 0.8629 0.1129 0.7259  6 Ca 3.25-3.56, 2 Pb 3.30
Pb 0.1371 0.8871 0.2741  6 Ca 3.25-3.56, 2 Pb 3.30
Ca 0.3849 0.6349 0.7697  6 Pb 3.25-3.56
Ca 0.6151 0.3651 0.2303  6 Pb 3.25-3.56